(1)
A plane-wave DFT calculation with GGA-PBE was carried out for a relaxed structure of Cs2NpI2O2.

a b c (Å): 4.650 4.650 20.188
angles (deg): 90.00 90.00 90.00
Space group I4/mmm (No. 139)
One atom of each set of equivalent atoms:
Cs  0.000  0.000  0.109 x4
Np  0.000  0.000  0.500 x2
I  0.000  0.000  0.334 x4
O  0.000  0.500  0.000 x4

=====

(2)
A plane-wave DFT calculation with GGA-PBE was carried out for a relaxed structure of Cs2NpI4O2.

a b c (Å): 13.400 8.642 7.026
angles (deg): 90.00 101.69 90.00
Space group C2/m (No. 12)
One atom of each set of equivalent atoms:
Cs  0.159  0.000  0.312 x4
Np  0.000  0.500  0.500 x2
I  0.103  0.248  0.776 x8
O  0.111  0.500  0.395 x4

=====

(3)
A plane-wave DFT calculation with GGA-PBE was carried out for a relaxed structure of CsNpI2O8.

a b c (Å): 6.4818 6.4818 8.2360
angles (deg): 90.00 90.00 120.00
Space group P-3m1 (No. 164)
One atom of each set of equivalent atoms:
Cs  0.0000  0.0000  0.0000 x1
Np  0.0000  0.0000  0.5000 x1
I  0.3333  0.6667  0.3371 x2
O  0.1538  0.3076  0.3478 x6
O  0.3333  0.6667  0.1203 x2

=====

(4)
A plane-wave DFT calculation with GGA-PBE was carried out for a relaxed structure of Cs2NpIO6.

a b c (Å): 5.991 5.991 11.249
angles (deg): 90.00 90.00 90.00
Space group I4/mmm (No. 139)
One atom of each set of equivalent atoms:
Cs  0.000  0.500  0.250 x4
Np  0.000  0.000  0.000 x2
I  0.000  0.000  0.500 x2
O  0.000  0.000  0.168 x4
O  0.249  0.249  0.500 x8

=====

(5)
A plane-wave DFT calculation with GGA-PBE was carried out for a relaxed structure of CsNpPbI6.

a b c (Å): 11.355 11.697 16.334
angles (deg): 90.00 90.00 90.00
Space group Imma (No. 74)
One atom of each set of equivalent atoms:
Cs  0.000  0.250  0.075 x4
Np  0.000  0.000  0.500 x4
Pb  0.250  0.250  0.750 x4
I  0.000  0.250  0.434 x4
I  0.000  0.250  0.842 x4
I  0.204  0.037  0.624 x16

=====

(6)
A plane-wave DFT calculation with GGA-PBE was carried out for a relaxed structure of CsNpPdI6.

a b c (Å): 7.5762 7.5762 8.9885
angles (deg): 90.00 90.00 120.00
Space group P312 (No. 149)
One atom of each set of equivalent atoms:
Cs  0.0000  0.0000  0.0000 x1
Np  0.3333  0.6667  0.5000 x1
Pd  0.6667  0.3333  0.5000 x1
I  0.3674  0.0128  0.6925 x6

=====

Number 1: volume 31.18 A^3/atom, ΔE_f (raw) -1.730 eV per atom, D(E_F) 20.49 states/eV/cell. Number 2: volume 44.27 A^3/atom, ΔE_f (raw) -1.692 eV per atom, D(E_F) 6.16 states/eV/cell. Number 3: volume 24.97 A^3/atom, ΔE_f (raw) -1.204 eV per atom, D(E_F) 4.72 states/eV/cell. Number 4: volume 20.19 A^3/atom, ΔE_f (raw) -1.802 eV per atom, D(E_F) 5.52 states/eV/cell. Number 5: volume 60.26 A^3/atom, ΔE_f (raw) -0.882 eV per atom, D(E_F) 23.11 states/eV/cell. Number 6: volume 49.64 A^3/atom, ΔE_f (raw) -0.751 eV per atom, D(E_F) 8.47 states/eV/cell.